[1]
{
  "formula": "HoTiCoRh",
  "functional": "GGA-PBE",
  "state": "optimized geometry",
  "lattice_angstrom": [[4.543, 0.000, 0.000], [2.272, 3.934, 0.000], [2.272, 1.311, 3.709]],
  "species": ["Ho", "Co", "Rh", "Ti"],
  "fractional_positions": [[0.750, 0.750, 0.750], [0.000, 0.000, 0.000], [0.500, 0.500, 0.500], [0.250, 0.250, 0.250]],
  "ef_ev_per_atom": -0.42,
  "sg": "F-43m (216)",
  "dos_at_fermi_per_ev_fu": 3.75,
  "density_g_cm3": 9.4,
  "magmom_total_mub_per_fu": 0.27
}


[2]
{
  "formula": "SmErMgBi",
  "functional": "GGA-PBE",
  "state": "optimized geometry",
  "lattice_angstrom": [[5.447, 0.000, 0.000], [2.724, 4.717, 0.000], [2.724, 1.572, 4.448]],
  "species": ["Sm", "Mg", "Er", "Bi"],
  "fractional_positions": [[0.750, 0.750, 0.750], [0.000, 0.000, 0.000], [0.250, 0.250, 0.250], [0.500, 0.500, 0.500]],
  "ef_ev_per_atom": -0.30,
  "sg": "F-43m (216)",
  "dos_at_fermi_per_ev_fu": 4.55,
  "density_g_cm3": 8.0,
  "magmom_total_mub_per_fu": 0.00
}


[3]
{
  "formula": "LiP2Os",
  "functional": "GGA-PBE",
  "state": "optimized geometry",
  "lattice_angstrom": [[2.891, -0.008, 0.000], [-1.500, 2.471, 0.000], [0.000, 0.000, 8.038]],
  "species": ["P", "P", "Os", "Li"],
  "fractional_positions": [[0.000, 0.000, 0.994], [0.000, 0.000, 0.506], [0.500, 0.500, 0.750], [0.500, 0.500, 0.250]],
  "ef_ev_per_atom": 0.11,
  "sg": "Cmmm (65)",
  "dos_at_fermi_per_ev_fu": 2.01,
  "density_g_cm3": 7.5,
  "magmom_total_mub_per_fu": 0.00
}


[4]
{
  "formula": "Cs2AgI",
  "functional": "GGA-PBE",
  "state": "optimized geometry",
  "lattice_angstrom": [[-3.670, -3.596, 1.496], [1.524, -3.275, -4.132], [9.290, -4.917, 10.969]],
  "species": ["Cs", "Cs", "Cs", "Cs", "I", "I", "Ag", "Ag"],
  "fractional_positions": [[0.750, 0.939, 0.879], [0.750, 0.680, 0.359], [0.250, 0.061, 0.121], [0.250, 0.320, 0.641], [0.250, 0.189, 0.378], [0.750, 0.811, 0.622], [0.250, 0.477, 0.954], [0.750, 0.523, 0.046]],
  "sg": "Cmcm (63)",
  "dos_at_fermi_per_ev_fu": 0.57,
  "e_form_raw_mev_per_atom": -740,
  "density_g_cm3": 3.8,
  "magmom_total_mub_per_fu": 0.00
}


[5]
{
  "formula": "SnPt2Se2",
  "functional": "GGA-PBE",
  "state": "optimized geometry",
  "lattice_angstrom": [[-3.100, -2.276, -0.359], [2.115, -3.050, 1.068], [-2.172, -1.448, 7.150]],
  "species": ["Pt", "Pt", "Sn", "Se", "Se"],
  "fractional_positions": [[0.250, 0.750, 0.500], [0.750, 0.250, 0.500], [0.000, 0.000, 0.000], [0.379, 0.379, 0.243], [0.621, 0.621, 0.757]],
  "sg": "I4/mmm (139)",
  "dos_at_fermi_per_ev_fu": 3.89,
  "e_form_raw_mev_per_atom": 74,
  "density_g_cm3": 10.4,
  "magmom_total_mub_per_fu": 0.00
}


[6]
{
  "formula": "Ga3PdAu2",
  "functional": "GGA-PBE",
  "state": "optimized geometry",
  "lattice_angstrom": [[-3.195, -1.661, -0.942], [2.889, -3.182, -4.189], [1.656, -6.736, 6.257]],
  "species": ["Ga", "Ga", "Ga", "Ga", "Ga", "Ga", "Au", "Au", "Au", "Au", "Pd", "Pd"],
  "fractional_positions": [[0.500, 0.200, 0.056], [0.500, 0.168, 0.728], [0.000, 0.837, 0.627], [0.500, 0.668, 0.272], [0.000, 0.337, 0.373], [0.500, 0.700, 0.944], [0.500, 0.008, 0.457], [0.000, 0.985, 0.209], [0.500, 0.508, 0.543], [0.000, 0.485, 0.791], [0.000, 0.003, 0.897], [0.000, 0.503, 0.103]],
  "ef_ev_per_atom": -0.34,
  "sg": "Pmc2_1 (26)",
  "dos_at_fermi_per_ev_fu": 1.24,
  "density_g_cm3": 11.3,
  "magmom_total_mub_per_fu": 0.00
}


[7]
{
  "formula": "BaLiLaS3",
  "functional": "GGA-PBE",
  "state": "optimized geometry",
  "lattice_angstrom": [[-0.291, -3.855, -1.702], [6.993, 1.737, -5.129], [3.882, -3.508, 7.280]],
  "species": ["Li", "Li", "La", "La", "Ba", "Ba", "S", "S", "S", "S", "S", "S"],
  "fractional_positions": [[0.750, 0.916, 0.412], [0.250, 0.084, 0.588], [0.750, 0.336, 0.828], [0.250, 0.664, 0.172], [0.250, 0.177, 0.231], [0.750, 0.823, 0.769], [0.750, 0.191, 0.512], [0.250, 0.565, 0.839], [0.250, 0.809, 0.488], [0.750, 0.435, 0.161], [0.750, 0.880, 0.137], [0.250, 0.120, 0.863]],
  "sg": "P2_1/m (11)",
  "dos_at_fermi_per_ev_fu": 0.00,
  "e_form_raw_mev_per_atom": -1951,
  "density_g_cm3": 3.8,
  "magmom_total_mub_per_fu": 0.00
}


[8]
{
  "formula": "LiLa2NpTe5",
  "functional": "GGA-PBE",
  "state": "optimized geometry",
  "lattice_angstrom": [[-0.589, -4.118, -1.716], [-2.402, -1.092, 9.345], [-12.642, 3.015, -2.898]],
  "species": ["Te", "Te", "Te", "Te", "Te", "Te", "Te", "Te", "Te", "Te", "Li", "Li", "Np", "Np", "La", "La", "La", "La"],
  "fractional_positions": [[0.364, 0.729, 0.000], [0.287, 0.574, 0.669], [0.312, 0.623, 0.348], [0.636, 0.271, 0.500], [0.502, 0.004, 0.278], [0.953, 0.906, 0.569], [0.498, 0.996, 0.778], [0.713, 0.426, 0.169], [0.047, 0.094, 0.069], [0.688, 0.377, 0.848], [0.556, 0.113, 0.961], [0.444, 0.887, 0.461], [0.800, 0.600, 0.509], [0.200, 0.400, 0.009], [0.892, 0.784, 0.186], [0.108, 0.216, 0.686], [0.874, 0.749, 0.805], [0.126, 0.251, 0.305]],
  "sg": "Cmc2_1 (36)",
  "dos_at_fermi_per_ev_fu": 11.27,
  "e_form_raw_mev_per_atom": -1201,
  "density_g_cm3": 6.8,
  "magmom_total_mub_per_fu": 3.99
}


[9]
{
  "formula": "PrGa3NiPt",
  "functional": "GGA-PBE",
  "state": "optimized geometry",
  "lattice_angstrom": [[-5.131, -2.742, 1.788], [2.935, -5.492, -0.001], [0.085, 3.575, 5.725]],
  "species": ["Pt", "Pt", "Pr", "Pr", "Ga", "Ga", "Ga", "Ga", "Ga", "Ga", "Ni", "Ni"],
  "fractional_positions": [[0.750, 0.860, 0.719], [0.250, 0.140, 0.281], [0.750, 0.235, 0.470], [0.250, 0.765, 0.530], [0.000, 0.788, 0.000], [0.750, 0.655, 0.311], [0.500, 0.212, 0.000], [0.500, 0.788, 0.000], [0.000, 0.212, 0.000], [0.250, 0.345, 0.689], [0.750, 0.462, 0.924], [0.250, 0.538, 0.076]],
  "ef_ev_per_atom": -0.54,
  "sg": "Cmcm (63)",
  "dos_at_fermi_per_ev_fu": 2.63,
  "density_g_cm3": 8.8,
  "magmom_total_mub_per_fu": 0.00
}


[10]
{
  "formula": "DyZrIrPd",
  "functional": "GGA-PBE",
  "state": "optimized geometry",
  "lattice_angstrom": [[-2.603, -3.476, 2.041], [-2.680, -2.903, -2.723], [1.263, -4.594, -0.573]],
  "species": ["Ir", "Dy", "Zr", "Pd"],
  "fractional_positions": [[0.500, 0.500, 0.500], [0.250, 0.250, 0.250], [0.750, 0.750, 0.750], [0.000, 0.000, 0.000]],
  "ef_ev_per_atom": -0.76,
  "sg": "F-43m (216)",
  "dos_at_fermi_per_ev_fu": 4.89,
  "density_g_cm3": 11.7,
  "magmom_total_mub_per_fu": 0.00
}


[11]
{
  "formula": "Ba3P",
  "functional": "GGA-PBE",
  "state": "optimized geometry",
  "lattice_angstrom": [[-0.510, -0.327, -5.902], [0.974, -5.150, -2.781], [-4.531, -2.964, -2.426]],
  "species": ["Ba", "Ba", "Ba", "P"],
  "fractional_positions": [[0.250, 0.250, 0.250], [0.000, 0.000, 0.000], [0.500, 0.500, 0.500], [0.750, 0.750, 0.750]],
  "ef_ev_per_atom": 0.02,
  "sg": "Fm-3m (225)",
  "dos_at_fermi_per_ev_fu": 5.01,
  "density_g_cm3": 5.0,
  "magmom_total_mub_per_fu": 1.94
}


[12]
{
  "formula": "Al2SbCl",
  "functional": "GGA-PBE",
  "state": "optimized geometry",
  "lattice_angstrom": [[3.224, -0.199, 0.000], [-1.458, 2.882, 0.000], [0.000, 0.000, 9.617]],
  "species": ["Cl", "Al", "Al", "Sb"],
  "fractional_positions": [[0.500, 0.500, 0.250], [0.000, 0.000, 0.025], [0.000, 0.000, 0.475], [0.500, 0.500, 0.750]],
  "sg": "Cmmm (65)",
  "dos_at_fermi_per_ev_fu": 2.12,
  "e_form_raw_mev_per_atom": 24,
  "density_g_cm3": 4.1,
  "magmom_total_mub_per_fu": 0.00
}


[13]
{
  "formula": "SrTlZn2Ni",
  "functional": "GGA-PBE",
  "state": "optimized geometry",
  "lattice_angstrom": [[4.792, 0.000, 0.000], [0.000, 4.792, 0.000], [0.000, 0.000, 5.008]],
  "species": ["Sr", "Zn", "Zn", "Ni", "Tl"],
  "fractional_positions": [[0.500, 0.500, 0.500], [0.000, 0.500, 0.000], [0.500, 0.000, 0.000], [0.000, 0.000, 0.000], [0.000, 0.000, 0.500]],
  "ef_ev_per_atom": -0.13,
  "sg": "P4/mmm (123)",
  "dos_at_fermi_per_ev_fu": 3.03,
  "density_g_cm3": 7.0,
  "magmom_total_mub_per_fu": 0.00
}


[14]
{
  "formula": "HfHgCl3",
  "functional": "GGA-PBE",
  "state": "optimized geometry",
  "lattice_angstrom": [[-3.630, -2.449, -2.496], [3.471, -2.952, -2.153], [-0.416, -3.269, 3.813]],
  "species": ["Cl", "Cl", "Cl", "Hf", "Hg"],
  "fractional_positions": [[0.500, 0.000, 0.000], [0.000, 0.500, 0.000], [0.000, 0.000, 0.500], [0.000, 0.000, 0.000], [0.500, 0.500, 0.500]],
  "sg": "Pm-3m (221)",
  "dos_at_fermi_per_ev_fu": 1.91,
  "e_form_raw_mev_per_atom": -1102,
  "density_g_cm3": 6.3,
  "magmom_total_mub_per_fu": 0.00
}


[15]
{
  "formula": "RbSn3Bi3",
  "functional": "GGA-PBE",
  "state": "optimized geometry",
  "lattice_angstrom": [[-1.279, 7.409, 4.299], [3.686, -3.448, 7.038], [7.732, 2.869, -2.645]],
  "species": ["Bi", "Bi", "Bi", "Bi", "Bi", "Bi", "Sn", "Sn", "Sn", "Sn", "Sn", "Sn", "Rb", "Rb"],
  "fractional_positions": [[0.000, 0.500, 0.750], [0.750, 0.000, 0.500], [0.250, 0.000, 0.500], [0.000, 0.500, 0.250], [0.500, 0.250, 0.000], [0.500, 0.750, 0.000], [0.500, 0.000, 0.250], [0.500, 0.000, 0.750], [0.000, 0.250, 0.500], [0.250, 0.500, 0.000], [0.750, 0.500, 0.000], [0.000, 0.750, 0.500], [0.000, 0.000, 0.000], [0.500, 0.500, 0.500]],
  "ef_ev_per_atom": 0.02,
  "sg": "Pm-3n (223)",
  "dos_at_fermi_per_ev_fu": 5.13,
  "density_g_cm3": 5.5,
  "magmom_total_mub_per_fu": 0.00
}


[16]
{
  "formula": "YbFe2Si2",
  "functional": "GGA-PBE",
  "state": "optimized geometry",
  "lattice_angstrom": [[-2.056, -4.127, -3.254], [0.165, -5.401, 1.626], [-1.520, 5.049, 2.011]],
  "species": ["Si", "Si", "Fe", "Fe", "Yb"],
  "fractional_positions": [[0.371, 0.371, 0.000], [0.629, 0.629, 0.000], [0.250, 0.750, 0.500], [0.750, 0.250, 0.500], [0.000, 0.000, 0.000]],
  "sg": "I4/mmm (139)",
  "dos_at_fermi_per_ev_fu": 14.44,
  "e_form_raw_mev_per_atom": -550,
  "density_g_cm3": 7.6,
  "magmom_total_mub_per_fu": 1.63
}


[17]
{
  "formula": "SrTlVSe2",
  "functional": "GGA-PBE",
  "state": "optimized geometry",
  "lattice_angstrom": [[-1.322, -4.788, -2.645], [-2.338, -1.683, 4.214], [-4.825, 2.303, -1.757]],
  "species": ["V", "Se", "Se", "Sr", "Tl"],
  "fractional_positions": [[0.000, 0.500, 0.000], [0.500, 0.000, 0.000], [0.000, 0.000, 0.500], [0.500, 0.500, 0.500], [0.000, 0.000, 0.000]],
  "sg": "P4/mmm (123)",
  "dos_at_fermi_per_ev_fu": 2.80,
  "e_form_raw_mev_per_atom": 214,
  "density_g_cm3": 5.1,
  "magmom_total_mub_per_fu": 4.11
}